Entry i
Computed, not measured: an optimized crystal structure of Sn4Se2Br5 at the PBE level of DFT.

Lattice parameters (Å, degrees): 4.277 11.133 9.584 85.61 102.89 90.01
Atoms (fractional coordinates):
Sn1 0.641 0.545 0.282
Sn2 0.981 0.792 0.961
Sn3 0.359 0.455 0.718
Sn4 0.019 0.208 0.039
Se1 0.478 0.628 0.956
Se2 0.522 0.372 0.044
Br1 0.129 0.756 0.258
Br2 0.871 0.244 0.742
Br3 0.201 0.378 0.401
Br4 0.500 0.000 0.000
Br5 0.799 0.622 0.599

- V (Å³ per cell) = 443.5
- space-group type = P-1, No. 2

Entry ii
Computed, not measured: an optimized crystal structure of Sn4Se2Br5 at the PBE level of DFT.

Lattice parameters (Å, degrees): 4.906 12.127 9.492 129.70 104.98 90.00
Each line ends with the local moment (μB).
Atoms (fractional coordinates):
Sn1 0.644 0.644 0.287  0.00
Sn2 0.000 0.157 0.000  0.00
Sn3 0.356 0.356 0.713  0.00
Sn4 0.000 0.843 0.000  0.00
Se1 0.836 0.836 0.672  0.21
Se2 0.164 0.164 0.328  0.21
Br1 0.147 0.488 0.295  0.01
Br2 0.853 0.512 0.705  0.01
Br3 0.147 0.806 0.295  0.01
Br4 0.500 0.000 0.000  0.11
Br5 0.853 0.194 0.705  0.01

- V (Å³ per cell) = 409.2
- space-group type = Immm, No. 71

entry i wins, 0.201 eV/atom ahead of the next structure.

Entry i
Computed, not measured: an optimized crystal structure of Sn2Se2Br at the PBE level of DFT.

Lattice parameters (Å, degrees): 4.192 5.704 7.286 113.04 106.72 90.00
Atoms (fractional coordinates):
Sn1 0.684 0.184 0.368
Sn2 0.316 0.816 0.632
Se1 0.336 0.336 0.673
Se2 0.664 0.664 0.327
Br1 0.000 0.000 0.000

- V (Å³ per cell) = 152.3
- space-group type = Immm, No. 71

Entry ii
Computed, not measured: an optimized crystal structure of Sn2Se2Br at the PBE level of DFT.

Lattice parameters (Å, degrees): 5.225 5.225 6.720 67.12 67.12 90.00
Atoms (fractional coordinates):
Se1 0.350 0.350 0.300
Se2 0.650 0.650 0.700
Sn1 0.750 0.250 0.500
Sn2 0.250 0.750 0.500
Br1 0.000 0.000 0.000

- V (Å³ per cell) = 153.3
- space-group type = I4/mmm, No. 139

Entry iii
Computed, not measured: an optimized crystal structure of Sn2Se2Br at the PBE level of DFT.

Lattice parameters (Å, degrees): 8.468 8.468 3.678 90.00 90.00 90.00
Atoms (fractional coordinates):
Se1 0.368 0.868 0.000
Se2 0.868 0.632 0.000
Se3 0.632 0.132 0.000
Se4 0.132 0.368 0.000
Sn1 0.155 0.655 0.500
Sn2 0.655 0.845 0.500
Sn3 0.845 0.345 0.500
Sn4 0.345 0.155 0.500
Br1 0.000 0.000 0.000
Br2 0.500 0.500 0.000

- V (Å³ per cell) = 263.8
- space-group type = P4/mbm, No. 127

entry i wins, 0.182 eV/atom ahead of the next structure.

Entry i
Computed, not measured: an optimized crystal structure of Sn2Se2Br at the PBE level of DFT.

Lattice parameters (Å, degrees): 4.169 5.775 12.783 90.00 90.00 90.00
Atoms (fractional coordinates):
Sn1 0.750 0.250 0.597
Sn2 0.750 0.250 0.242
Sn3 0.250 0.750 0.758
Sn4 0.250 0.750 0.403
Se1 0.250 0.250 0.748
Se2 0.250 0.250 0.415
Se3 0.750 0.750 0.585
Se4 0.750 0.750 0.252
Br1 0.750 0.750 0.909
Br2 0.250 0.250 0.091

- V (Å³ per cell) = 307.8
- space-group type = Pmmn, No. 59

Entry ii
Computed, not measured: an optimized crystal structure of Sn2Se2Br at the PBE level of DFT.

Lattice parameters (Å, degrees): 8.288 8.288 3.870 90.00 90.00 90.00
Atoms (fractional coordinates):
Se1 0.135 0.635 0.500
Se2 0.635 0.865 0.500
Se3 0.865 0.365 0.500
Se4 0.365 0.135 0.500
Sn1 0.311 0.811 0.000
Sn2 0.811 0.689 0.000
Sn3 0.689 0.189 0.000
Sn4 0.189 0.311 0.000
Br1 0.000 0.000 0.000
Br2 0.500 0.500 0.000

- V (Å³ per cell) = 265.8
- space-group type = P4/mbm, No. 127

entry i wins, 0.103 eV/atom ahead of the next structure.